Here is a relaxed structure of LaFe2Rh2 from the Alexandria database. Energies are from PBE.

Cell: 4.324 4.324 5.708 Å, 67.75 67.75 90.00°
Site moments in Bohr magnetons follow the coordinates.
Positions (direct):
Rh1 0.750 0.250 0.500  0.64
Rh2 0.250 0.750 0.500  0.64
Fe1 0.379 0.379 0.242  2.73
Fe2 0.621 0.621 0.758  2.73
La1 0.000 0.000 0.000  -0.09

Calculated values
Final energy, eV per atom: -7.481
Symmetry: No. 139

=====

Here is a relaxed structure of LaFeRh2 from the Alexandria database. Energies are from PBE.

Cell: 4.625 4.625 4.625 Å, 60.00 60.00 60.00°
Site moments in Bohr magnetons follow the coordinates.
Positions (direct):
Fe1 0.500 0.500 0.500  2.60
La1 0.750 0.750 0.750  -0.12
Rh1 0.000 0.000 0.000  0.10
Rh2 0.250 0.250 0.250  0.44

Calculated values
Final energy, eV per atom: -7.015
Symmetry: No. 216
Offset from the most stable computed form, meV per atom: 308

=====

Here is a relaxed structure of LaFe2Rh from the Alexandria database. Energies are from PBE.

Cell: 5.203 5.200 3.011 Å, 79.73 77.15 115.84°
Site moments in Bohr magnetons follow the coordinates.
Positions (direct):
Fe1 0.000 0.000 0.000  2.62
Fe2 0.500 0.000 0.500  2.62
La1 0.000 0.500 0.500  -0.26
Rh1 0.500 0.500 0.000  0.45

Calculated values
Final energy, eV per atom: -7.034
Symmetry: No. 12

=====

Here is a relaxed structure of La2FeRh from the Alexandria database. Energies are from PBE.

Cell: 5.061 5.061 5.061 Å, 60.00 60.00 60.00°
Site moments in Bohr magnetons follow the coordinates.
Positions (direct):
Rh1 0.500 0.500 0.500  0.18
Fe1 0.000 0.000 0.000  2.11
La1 0.250 0.250 0.250  -0.18
La2 0.750 0.750 0.750  -0.18

Calculated values
Final energy, eV per atom: -6.554
Symmetry: No. 225
Offset from the most stable computed form, meV per atom: 112

=====

Here is a relaxed structure of La2FeRh from the Alexandria database. Energies are from PBE.

Cell: 3.390 3.390 8.466 Å, 90.00 90.00 90.00°
Site moments in Bohr magnetons follow the coordinates.
Positions (direct):
Fe1 0.500 0.500 0.688  2.87
La1 0.000 0.000 0.929  -0.14
La2 0.500 0.500 0.330  0.01
Rh1 0.000 0.000 0.553  0.46

Calculated values
Final energy, eV per atom: -6.417
Symmetry: No. 99
Offset from the most stable computed form, meV per atom: 250

=====

Here is a relaxed structure of La2FeRh from the Alexandria database. Energies are from PBE.

Cell: 3.637 3.586 7.961 Å, 63.21 90.00 90.00°
Site moments in Bohr magnetons follow the coordinates.
Positions (direct):
Fe1 0.500 0.750 0.750  -2.32
La1 0.000 0.995 0.005  0.19
La2 0.000 0.505 0.495  0.19
Rh1 0.500 0.250 0.250  0.00

Calculated values
Final energy, eV per atom: -6.567
Symmetry: No. 47
Offset from the most stable computed form, meV per atom: 99

=====

Here is a relaxed structure of LaFeRh4 from the Alexandria database. Energies are from PBE.

Cell: 5.290 5.290 5.290 Å, 60.00 60.00 60.00°
Site moments in Bohr magnetons follow the coordinates.
Positions (direct):
La1 0.000 0.000 0.000  0.00
Fe1 0.750 0.750 0.750  3.30
Rh1 0.873 0.376 0.376  0.32
Rh2 0.376 0.376 0.873  0.32
Rh3 0.376 0.873 0.376  0.32
Rh4 0.376 0.376 0.376  0.32

Calculated values
Final energy, eV per atom: -7.250
Symmetry: No. 216

=====

Here is a relaxed structure of LaFe2Rh from the Alexandria database. Energies are from PBE.

Cell: 4.453 4.453 9.250 Å, 76.07 76.07 90.00°
Site moments in Bohr magnetons follow the coordinates.
Positions (direct):
Rh1 0.500 0.500 0.000  0.37
Rh2 0.250 0.750 0.500  0.37
Fe1 0.375 0.125 0.250  2.38
Fe2 0.375 0.625 0.250  2.41
Fe3 0.375 0.625 0.750  2.31
Fe4 0.875 0.625 0.750  2.35
La1 0.000 0.000 0.000  -0.15
La2 0.750 0.250 0.500  -0.15

Calculated values
Final energy, eV per atom: -7.061
Symmetry: No. 141

=====

Listing calculated formation energy for the structures above in their given order: -0.1697, 0.0087, 0.2674, -0.1369, 0.0003, -0.1502, -0.1176, 0.2402 eV/atom.
Listing V for the structures above in their given order: 90, 70, 68, 92, 97, 93, 105, 173 Å³/cell.